No. 1
Density functional theory data (GGA-PBE) for MgFe after structural relaxation.

- Calculated density: 4.097 g/cm³

Unit cell a=3.063 b=3.063 c=6.927 alpha=90.00 beta=90.00 gamma=90.00
Last column: magnetic moment on the atom in μB.
Fractional coordinates of all 4 atoms:
1 Fe 0.250 0.250 0.076  2.46
2 Fe 0.750 0.750 0.924  2.46
3 Mg 0.250 0.250 0.668  -0.02
4 Mg 0.750 0.750 0.332  -0.02

No. 2
Density functional theory data (GGA-PBE) for TmMg2Bi after structural relaxation.

- Excess energy over the best structure of this formula in the dataset: 480 meV/atom
- Calculated density: 6.190 g/cm³

Unit cell a=3.365 b=3.365 c=11.827 alpha=81.82 beta=81.82 gamma=60.00
Fractional coordinates of all 4 atoms:
1 Mg 0.910 0.910 0.271
2 Mg 0.090 0.090 0.729
3 Tm 0.000 0.000 0.000
4 Bi 0.500 0.500 0.500

In the order shown, the computed energy of formation from the pure elements values come out to 0.119; 0.185 eV/atom.
In the order shown, the computed Fermi-level density of states values come out to 2.4; 2.3 states/eV/cell.